Record 1
Density functional theory data (PBE) for a relaxed structure of Pm2ErMg.

Calculated values
- formation energy from the elements (meV per atom) = 40
- total magnetization (μB/atom) = 0.0000
- SG = R3m
- E (eV per atom) = -3.875

```
data_Pm2ErMg
_chemical_formula_sum 'Pm2 Er1 Mg1'
_space_group_name_H-M_alt 'P 1'
_space_group_IT_number 1
_cell_length_a 3.541
_cell_length_b 3.541
_cell_length_c 11.651
_cell_angle_alpha 81.29
_cell_angle_beta 81.29
_cell_angle_gamma 60.03
loop_
_space_group_symop_operation_xyz
'x,y,z'
loop_
_atom_site_label
_atom_site_type_symbol
_atom_site_fract_x
_atom_site_fract_y
_atom_site_fract_z
Pm1 Pm 0.249 0.249 0.253
Pm2 Pm 0.084 0.084 0.747
Er1 Er 0.667 0.667 0.999
Mg1 Mg 0.500 0.500 0.500
```

Record 2
Density functional theory data (PBE) for a relaxed structure of Pm2Er2Mg.

Calculated values
- formation energy from the elements (meV per atom) = 193
- total magnetization (μB/atom) = 0.0000
- SG = I4_1/amd
- E (eV per atom) = -3.851

```
data_Pm2Er2Mg
_chemical_formula_sum 'Pm4 Er4 Mg2'
_space_group_name_H-M_alt 'P 1'
_space_group_IT_number 1
_cell_length_a 5.181
_cell_length_b 5.181
_cell_length_c 12.921
_cell_angle_alpha 101.56
_cell_angle_beta 101.56
_cell_angle_gamma 90.00
loop_
_space_group_symop_operation_xyz
'x,y,z'
loop_
_atom_site_label
_atom_site_type_symbol
_atom_site_fract_x
_atom_site_fract_y
_atom_site_fract_z
Pm1 Pm 0.328 0.328 0.656
Pm2 Pm 0.078 0.578 0.156
Pm3 Pm 0.672 0.672 0.344
Pm4 Pm 0.422 0.922 0.844
Er1 Er 0.825 0.825 0.649
Er2 Er 0.175 0.175 0.351
Er3 Er 0.575 0.075 0.149
Er4 Er 0.925 0.425 0.851
Mg1 Mg 0.500 0.500 0.000
Mg2 Mg 0.250 0.750 0.500
```

Record 3
Density functional theory data (PBE) for a relaxed structure of PmEr14Mg.

Calculated values
- formation energy from the elements (meV per atom) = 25
- total magnetization (μB/atom) = 0.0000
- SG = P4/mmm
- E (eV per atom) = -4.365

```
data_PmEr14Mg
_chemical_formula_sum 'Pm1 Er14 Mg1'
_space_group_name_H-M_alt 'P 1'
_space_group_IT_number 1
_cell_length_a 6.989
_cell_length_b 6.989
_cell_length_c 9.913
_cell_angle_alpha 90.00
_cell_angle_beta 90.00
_cell_angle_gamma 90.00
loop_
_space_group_symop_operation_xyz
'x,y,z'
loop_
_atom_site_label
_atom_site_type_symbol
_atom_site_fract_x
_atom_site_fract_y
_atom_site_fract_z
Er1 Er 0.125 0.875 0.000
Er2 Er 0.874 0.624 0.751
Er3 Er 0.625 0.875 0.500
Er4 Er 0.874 0.126 0.249
Er5 Er 0.376 0.624 0.249
Er6 Er 0.125 0.375 0.000
Er7 Er 0.874 0.126 0.751
Er8 Er 0.125 0.375 0.500
Er9 Er 0.376 0.126 0.249
Er10 Er 0.376 0.624 0.751
Er11 Er 0.874 0.624 0.249
Er12 Er 0.625 0.875 0.000
Er13 Er 0.376 0.126 0.751
Er14 Er 0.625 0.375 0.000
Mg1 Mg 0.125 0.875 0.500
Pm1 Pm 0.625 0.375 0.500
```

Record 4
Density functional theory data (PBE) for a relaxed structure of Pm3ErMg.

Calculated values
- formation energy from the elements (meV per atom) = 64
- total magnetization (μB/atom) = 0.0000
- SG = C2/m
- E (eV per atom) = -4.018

```
data_Pm3ErMg
_chemical_formula_sum 'Pm6 Er2 Mg2'
_space_group_name_H-M_alt 'P 1'
_space_group_IT_number 1
_cell_length_a 3.532
_cell_length_b 8.546
_cell_length_c 11.426
_cell_angle_alpha 108.21
_cell_angle_beta 98.89
_cell_angle_gamma 90.00
loop_
_space_group_symop_operation_xyz
'x,y,z'
loop_
_atom_site_label
_atom_site_type_symbol
_atom_site_fract_x
_atom_site_fract_y
_atom_site_fract_z
Mg1 Mg 0.424 0.401 0.848
Mg2 Mg 0.576 0.599 0.152
Pm1 Pm 0.983 0.777 0.965
Pm2 Pm 0.621 0.038 0.243
Pm3 Pm 0.824 0.558 0.647
Pm4 Pm 0.017 0.223 0.035
Pm5 Pm 0.176 0.442 0.353
Pm6 Pm 0.379 0.962 0.757
Er1 Er 0.266 0.180 0.531
Er2 Er 0.734 0.820 0.469
```

Record 5
Density functional theory data (PBE) for a relaxed structure of Pm3Er2Mg3.

Calculated values
- formation energy from the elements (meV per atom) = -67
- total magnetization (μB/atom) = 0.0000
- SG = Immm
- E (eV per atom) = -3.588

```
data_Pm3Er2Mg3
_chemical_formula_sum 'Pm3 Er2 Mg3'
_space_group_name_H-M_alt 'P 1'
_space_group_IT_number 1
_cell_length_a 3.779
_cell_length_b 5.515
_cell_length_c 11.753
_cell_angle_alpha 103.57
_cell_angle_beta 99.25
_cell_angle_gamma 90.00
loop_
_space_group_symop_operation_xyz
'x,y,z'
loop_
_atom_site_label
_atom_site_type_symbol
_atom_site_fract_x
_atom_site_fract_y
_atom_site_fract_z
Mg1 Mg 0.119 0.119 0.239
Mg2 Mg 0.881 0.881 0.761
Mg3 Mg 0.000 0.500 0.000
Pm1 Pm 0.374 0.374 0.748
Pm2 Pm 0.500 0.000 0.000
Pm3 Pm 0.626 0.626 0.252
Er1 Er 0.264 0.764 0.528
Er2 Er 0.736 0.236 0.472
```

Record 6
Density functional theory data (PBE) for a relaxed structure of Pm8Er3Mg2.

Calculated values
- formation energy from the elements (meV per atom) = 76
- total magnetization (μB/atom) = 0.0000
- SG = P-1
- E (eV per atom) = -4.146

```
data_Pm8Er3Mg2
_chemical_formula_sum 'Pm8 Er3 Mg2'
_space_group_name_H-M_alt 'P 1'
_space_group_IT_number 1
_cell_length_a 7.338
_cell_length_b 9.597
_cell_length_c 7.963
_cell_angle_alpha 88.73
_cell_angle_beta 48.91
_cell_angle_gamma 89.46
loop_
_space_group_symop_operation_xyz
'x,y,z'
loop_
_atom_site_label
_atom_site_type_symbol
_atom_site_fract_x
_atom_site_fract_y
_atom_site_fract_z
Pm1 Pm 0.070 0.678 0.899
Pm2 Pm 0.323 0.178 0.546
Pm3 Pm 0.930 0.322 0.101
Pm4 Pm 0.165 0.853 0.459
Pm5 Pm 0.835 0.147 0.541
Pm6 Pm 0.465 0.307 0.062
Pm7 Pm 0.535 0.693 0.938
Pm8 Pm 0.677 0.822 0.454
Mg1 Mg 0.512 0.561 0.328
Mg2 Mg 0.488 0.439 0.672
Er1 Er 0.253 0.999 0.989
Er2 Er 0.000 0.500 0.500
Er3 Er 0.747 0.001 0.011
```